Entry 1:
First-principles (PBE) data for BiP2AuS after structural relaxation, as listed in the Alexandria database.

Results
* space group: No. 123
* polymorph energy (0 for the lowest one): 0.838 eV/atom
* ΔE_f (raw): 0.77 eV/atom

Structure (CIF):
```
data_BiP2AuS
_cell_length_a 4.801
_cell_length_b 4.801
_cell_length_c 4.956
_cell_angle_alpha 90.00
_cell_angle_beta 90.00
_cell_angle_gamma 90.00
_symmetry_space_group_name_H-M 'P 1'
_symmetry_Int_Tables_number 1
_symmetry_space_group_name_Hall 'P 1'
loop_
_atom_site_label
_atom_site_type_symbol
_atom_site_fract_x
_atom_site_fract_y
_atom_site_fract_z
_atom_site_occupancy
S1 S 0.000 0.000 0.500 1
Au1 Au 0.000 0.000 0.000 1
P1 P 0.000 0.500 0.000 1
P2 P 0.500 0.000 0.000 1
Bi1 Bi 0.500 0.500 0.500 1
```



Entry 2:
First-principles (PBE) data for BiP2AuS after structural relaxation, as listed in the Alexandria database.

Results
* space group: No. 1
* polymorph energy (0 for the lowest one): 0.307 eV/atom
* ΔE_f (raw): 0.24 eV/atom

Structure (CIF):
```
data_BiP2AuS
_cell_length_a 4.822
_cell_length_b 4.864
_cell_length_c 6.146
_cell_angle_alpha 95.79
_cell_angle_beta 108.01
_cell_angle_gamma 115.91
_symmetry_space_group_name_H-M 'P 1'
_symmetry_Int_Tables_number 1
_symmetry_space_group_name_Hall 'P 1'
loop_
_atom_site_label
_atom_site_type_symbol
_atom_site_fract_x
_atom_site_fract_y
_atom_site_fract_z
_atom_site_occupancy
Au1 Au 0.932 0.213 0.012 1
P1 P 0.653 0.397 0.651 1
P2 P 0.859 0.897 0.633 1
Bi1 Bi 0.402 0.967 0.198 1
S1 S 0.144 0.656 0.646 1
```



Entry 3:
First-principles (PBE) data for BiP2AuS after structural relaxation, as listed in the Alexandria database.

Results
* space group: No. 8
* polymorph energy (0 for the lowest one): 0.007 eV/atom
* ΔE_f (raw): -0.06 eV/atom

Structure (CIF):
```
data_BiP2AuS
_cell_length_a 5.955
_cell_length_b 3.382
_cell_length_c 11.244
_cell_angle_alpha 90.00
_cell_angle_beta 103.13
_cell_angle_gamma 90.00
_symmetry_space_group_name_H-M 'P 1'
_symmetry_Int_Tables_number 1
_symmetry_space_group_name_Hall 'P 1'
loop_
_atom_site_label
_atom_site_type_symbol
_atom_site_fract_x
_atom_site_fract_y
_atom_site_fract_z
_atom_site_occupancy
P1 P 0.119 0.500 0.994 1
P2 P 0.936 0.000 0.060 1
P3 P 0.936 0.500 0.560 1
P4 P 0.119 0.000 0.494 1
Bi1 Bi 0.518 0.500 0.249 1
Bi2 Bi 0.518 0.000 0.749 1
S1 S 0.584 0.500 0.490 1
S2 S 0.584 0.000 0.990 1
Au1 Au 0.002 0.500 0.777 1
Au2 Au 0.002 0.000 0.277 1
```



Entry 4:
First-principles (PBE) data for BiP2AuS after structural relaxation, as listed in the Alexandria database.

Results
* space group: No. 1
* polymorph energy (0 for the lowest one): 0.121 eV/atom
* ΔE_f (raw): 0.05 eV/atom

Structure (CIF):
```
data_BiP2AuS
_cell_length_a 4.563
_cell_length_b 4.667
_cell_length_c 6.059
_cell_angle_alpha 76.88
_cell_angle_beta 85.74
_cell_angle_gamma 75.37
_symmetry_space_group_name_H-M 'P 1'
_symmetry_Int_Tables_number 1
_symmetry_space_group_name_Hall 'P 1'
loop_
_atom_site_label
_atom_site_type_symbol
_atom_site_fract_x
_atom_site_fract_y
_atom_site_fract_z
_atom_site_occupancy
S1 S 0.997 0.414 0.457 1
P1 P 0.287 0.621 0.189 1
P2 P 0.584 0.761 0.403 1
Au1 Au 0.501 0.904 0.764 1
Bi1 Bi 0.761 0.160 0.046 1
```



Entry 5:
First-principles (PBE) data for BiP2AuS after structural relaxation, as listed in the Alexandria database.

Results
* space group: No. 1
* polymorph energy (0 for the lowest one): 0.073 eV/atom
* ΔE_f (raw): 0.00 eV/atom

Structure (CIF):
```
data_BiP2AuS
_cell_length_a 3.825
_cell_length_b 4.638
_cell_length_c 6.838
_cell_angle_alpha 103.03
_cell_angle_beta 104.44
_cell_angle_gamma 90.68
_symmetry_space_group_name_H-M 'P 1'
_symmetry_Int_Tables_number 1
_symmetry_space_group_name_Hall 'P 1'
loop_
_atom_site_label
_atom_site_type_symbol
_atom_site_fract_x
_atom_site_fract_y
_atom_site_fract_z
_atom_site_occupancy
P1 P 0.159 0.459 0.780 1
P2 P 0.246 0.133 0.973 1
Au1 Au 0.706 0.791 0.884 1
S1 S 0.019 0.210 0.467 1
Bi1 Bi 0.354 0.611 0.308 1
```



Entry 6:
First-principles (PBE) data for BiP2AuS after structural relaxation, as listed in the Alexandria database.

Results
* space group: No. 1
* polymorph energy (0 for the lowest one): 0.050 eV/atom
* ΔE_f (raw): -0.02 eV/atom

Structure (CIF):
```
data_BiP2AuS
_cell_length_a 4.546
_cell_length_b 4.655
_cell_length_c 5.897
_cell_angle_alpha 71.56
_cell_angle_beta 76.50
_cell_angle_gamma 89.75
_symmetry_space_group_name_H-M 'P 1'
_symmetry_Int_Tables_number 1
_symmetry_space_group_name_Hall 'P 1'
loop_
_atom_site_label
_atom_site_type_symbol
_atom_site_fract_x
_atom_site_fract_y
_atom_site_fract_z
_atom_site_occupancy
P1 P 0.563 0.175 0.390 1
P2 P 0.422 0.530 0.094 1
S1 S 0.785 0.876 0.941 1
Bi1 Bi 0.094 0.749 0.494 1
Au1 Au 0.453 0.321 0.757 1
```



Entry 7:
First-principles (PBE) data for BiP2AuS after structural relaxation, as listed in the Alexandria database.

Results
* space group: No. 6
* polymorph energy (0 for the lowest one): 0.061 eV/atom
* ΔE_f (raw): -0.01 eV/atom

Structure (CIF):
```
data_BiP2AuS
_cell_length_a 4.462
_cell_length_b 3.592
_cell_length_c 7.430
_cell_angle_alpha 90.00
_cell_angle_beta 96.50
_cell_angle_gamma 90.00
_symmetry_space_group_name_H-M 'P 1'
_symmetry_Int_Tables_number 1
_symmetry_space_group_name_Hall 'P 1'
loop_
_atom_site_label
_atom_site_type_symbol
_atom_site_fract_x
_atom_site_fract_y
_atom_site_fract_z
_atom_site_occupancy
P1 P 0.723 0.000 0.196 1
P2 P 0.411 0.500 0.235 1
Au1 Au 0.094 0.500 0.963 1
Bi1 Bi 0.113 0.000 0.517 1
S1 S 0.790 0.500 0.678 1
```



Entry 8:
First-principles (PBE) data for BiP2AuS after structural relaxation, as listed in the Alexandria database.

Results
* space group: No. 123
* polymorph energy (0 for the lowest one): 1.444 eV/atom
* ΔE_f (raw): 1.37 eV/atom

Structure (CIF):
```
data_BiP2AuS
_cell_length_a 5.329
_cell_length_b 5.329
_cell_length_c 5.138
_cell_angle_alpha 90.00
_cell_angle_beta 90.00
_cell_angle_gamma 90.00
_symmetry_space_group_name_H-M 'P 1'
_symmetry_Int_Tables_number 1
_symmetry_space_group_name_Hall 'P 1'
loop_
_atom_site_label
_atom_site_type_symbol
_atom_site_fract_x
_atom_site_fract_y
_atom_site_fract_z
_atom_site_occupancy
P1 P 0.500 0.000 0.000 1
P2 P 0.000 0.500 0.000 1
S1 S 0.000 0.000 0.500 1
Au1 Au 0.500 0.500 0.500 1
Bi1 Bi 0.000 0.000 0.000 1
```